Entry 1:
Crystalline Ca5Cu3 at its relaxed geometry. Source: the Alexandria database, functional PBE.

As for the formation energy: -0.48 eV per formula unit. The calculation puts the calculated density at 2.95 g/cm3. Its energy above the most stable polymorph in this dataset is 0 meV/atom. As for the space-group type: No. 193.

abc: 8.757 8.757 6.621
angles: 90.00 90.00 120.00
Sites, in units of the cell vectors:
Ca 0.000 0.256 0.250
Ca 0.000 0.744 0.750
Ca 0.256 0.000 0.250
Ca 0.256 0.256 0.750
Ca 0.333 0.667 0.000
Ca 0.333 0.667 0.500
Ca 0.667 0.333 0.000
Ca 0.667 0.333 0.500
Ca 0.744 0.000 0.750
Ca 0.744 0.744 0.250
Cu 0.000 0.394 0.750
Cu 0.000 0.606 0.250
Cu 0.394 0.000 0.750
Cu 0.394 0.394 0.250
Cu 0.606 0.000 0.250
Cu 0.606 0.606 0.750

Entry 2:
Crystalline Ca4Cu at its relaxed geometry. Source: the Alexandria database, functional PBE.

As for the formation energy: -0.03 eV per formula unit. The calculation puts the calculated density at 2.01 g/cm3. Its energy above the most stable polymorph in this dataset is 19 meV/atom. As for the space-group type: No. 221.

abc: 5.700 5.700 5.700
angles: 90.00 90.00 90.00
Sites, in units of the cell vectors:
Ca 0.000 0.000 0.000
Ca 0.000 0.500 0.500
Ca 0.500 0.000 0.500
Ca 0.500 0.500 0.000
Cu 0.500 0.500 0.500

Entry 3:
Crystalline Ca5Cu3 at its relaxed geometry. Source: the Alexandria database, functional PBE.

As for the formation energy: 0.41 eV per formula unit. The calculation puts the calculated density at 2.95 g/cm3. Its energy above the most stable polymorph in this dataset is 112 meV/atom. As for the space-group type: No. 65.

abc: 6.910 6.910 4.814
angles: 90.00 90.00 106.99
Sites, in units of the cell vectors:
Ca 0.000 0.000 0.000
Ca 0.000 0.500 0.000
Ca 0.293 0.293 0.500
Ca 0.500 0.000 0.000
Ca 0.707 0.707 0.500
Cu 0.184 0.816 0.500
Cu 0.500 0.500 0.000
Cu 0.816 0.184 0.500